The following is a DFT calculation (PBEsol) of a relaxed Re2RhW crystal.

Computed properties:
Energy relative to the lowest polymorph listed for this composition   61 meV per atom
ΔE_f   9.1 meV per atom

Unit cell a=4.7599 b=4.7599 c=4.7599 alpha=132.07 beta=132.07 gamma=70.12
Fractional positions:
Re: 0.2500 0.7500 0.5000
Re: 0.7500 0.2500 0.5000
Rh: 0.0000 0.0000 0.0000
W: 0.5000 0.5000 0.0000